1.
A plane-wave DFT calculation with GGA-PBE was carried out for an optimized crystal structure of CaMo2Cl.

Summary:
SG = C2
total DFT energy (no corrections) = -5.98 eV/atom

Unit cell a=6.785 b=9.468 c=3.264 alpha=90.00 beta=118.44 gamma=90.00
Element x y z (fractional)
Ca  0.000  0.000  0.000
Ca  0.500  0.500  0.000
Mo  0.000  0.477  0.000
Mo  0.000  0.658  0.500
Mo  0.500  0.158  0.500
Mo  0.500  0.977  0.000
Cl  0.000  0.242  0.500
Cl  0.500  0.742  0.500

---

2.
A plane-wave DFT calculation with GGA-PBE was carried out for an optimized crystal structure of FeIr5.

Summary:
SG = F-43m
total DFT energy (no corrections) = -8.16 eV/atom
formation energy from the elements = 636 meV per atom

Unit cell a=5.113 b=5.113 c=5.113 alpha=60.00 beta=60.00 gamma=60.00
Element x y z (fractional)
Fe  0.000  0.000  0.000
Ir  0.375  0.375  0.375
Ir  0.375  0.375  0.875
Ir  0.375  0.875  0.375
Ir  0.750  0.750  0.750
Ir  0.875  0.375  0.375

---

3.
A plane-wave DFT calculation with GGA-PBE was carried out for an optimized crystal structure of BaNa.

Summary:
SG = Pm-3n
total DFT energy (no corrections) = -0.99 eV/atom
formation energy from the elements = 628 meV per atom

Unit cell a=10.757 b=10.757 c=10.757 alpha=90.00 beta=90.00 gamma=90.00
Element x y z (fractional)
Ba  0.000  0.250  0.500
Ba  0.000  0.750  0.500
Ba  0.250  0.500  0.000
Ba  0.500  0.000  0.250
Ba  0.500  0.000  0.750
Ba  0.750  0.500  0.000
Na  0.000  0.500  0.250
Na  0.000  0.500  0.750
Na  0.250  0.000  0.500
Na  0.500  0.250  0.000
Na  0.500  0.750  0.000
Na  0.750  0.000  0.500

---

4.
A plane-wave DFT calculation with GGA-PBE was carried out for an optimized crystal structure of Ho4ScAl2.

Summary:
SG = R-3m
total DFT energy (no corrections) = -4.77 eV/atom
formation energy from the elements = -178 meV per atom

Unit cell a=8.251 b=8.251 c=8.251 alpha=36.46 beta=36.46 gamma=36.46
Element x y z (fractional)
Ho  0.085  0.085  0.085
Ho  0.349  0.349  0.349
Ho  0.651  0.651  0.651
Ho  0.915  0.915  0.915
Sc  0.500  0.500  0.500
Al  0.218  0.218  0.218
Al  0.782  0.782  0.782

---

5.
A plane-wave DFT calculation with GGA-PBE was carried out for an optimized crystal structure of BeCdAs2.

Summary:
SG = Immm
total DFT energy (no corrections) = -3.21 eV/atom
formation energy from the elements = 279 meV per atom

Unit cell a=3.566 b=4.892 c=9.181 alpha=90.00 beta=90.00 gamma=90.00
Element x y z (fractional)
Be  0.000  0.000  0.000
Be  0.500  0.500  0.500
Cd  0.000  0.000  0.500
Cd  0.500  0.500  0.000
As  0.000  0.500  0.342
As  0.000  0.500  0.658
As  0.500  0.000  0.158
As  0.500  0.000  0.842

---

6.
A plane-wave DFT calculation with GGA-PBE was carried out for an optimized crystal structure of Be2GeRu.

Summary:
SG = P4/mmm
total DFT energy (no corrections) = -5.45 eV/atom
formation energy from the elements = -113 meV per atom

Unit cell a=3.749 b=3.749 c=3.198 alpha=90.00 beta=90.00 gamma=90.00
Element x y z (fractional)
Be  0.000  0.500  0.000
Be  0.500  0.000  0.000
Ge  0.000  0.000  0.500
Ru  0.500  0.500  0.500

---

7.
A plane-wave DFT calculation with GGA-PBE was carried out for an optimized crystal structure of UMnGe2.

Summary:
SG = R-3m
total DFT energy (no corrections) = -7.20 eV/atom
formation energy from the elements = 224 meV per atom

Unit cell a=2.859 b=2.859 c=29.634 alpha=90.00 beta=90.00 gamma=120.00
Element x y z (fractional)
U  0.000  0.000  0.000
U  0.333  0.667  0.667
U  0.667  0.333  0.333
Mn  0.000  0.000  0.500
Mn  0.333  0.667  0.167
Mn  0.667  0.333  0.833
Ge  0.000  0.000  0.100
Ge  0.000  0.000  0.900
Ge  0.333  0.667  0.567
Ge  0.333  0.667  0.766
Ge  0.667  0.333  0.234
Ge  0.667  0.333  0.433

---

8.
A plane-wave DFT calculation with GGA-PBE was carried out for an optimized crystal structure of RbFeCo3.

Summary:
SG = Pm-3m
total DFT energy (no corrections) = -4.91 eV/atom
formation energy from the elements = 1241 meV per atom

Unit cell a=4.579 b=4.579 c=4.579 alpha=90.00 beta=90.00 gamma=90.00
Element x y z (fractional)
Rb  0.000  0.000  0.000
Fe  0.500  0.500  0.500
Co  0.000  0.500  0.500
Co  0.500  0.000  0.500
Co  0.500  0.500  0.000